No. 1
Compound: PuBePt2
Source: Alexandria
Functional: GGA-PBE
Structure: relaxed

Cell: 5.351 11.256 5.218 Å, 90.00 119.82 90.00°
Space group C2/c (No. 15)
One atom of each set of equivalent atoms:
Pu1 0.000 0.113 0.250 x4
Be1 0.000 0.496 0.750 x4
Pt1 0.186 0.351 0.103 x8

- Calculated volume: 17.04 Å³/atom
- DFT total energy: -32.899 eV per formula unit
- Energy relative to the elements: -0.690 eV/atom

No. 2
Compound: PuBe3Pt2
Source: Alexandria
Functional: GGA-PBE
Structure: relaxed

Cell: 6.1910 6.1910 2.7987 Å, 90.00 90.00 120.00°
Space group P6/mmm (No. 191)
One atom of each set of equivalent atoms:
Pu1 0.0000 0.0000 0.0000 x1
Be1 0.0000 0.5000 0.5000 x3
Pt1 0.3333 0.6667 0.0000 x2

- Calculated volume: 15.48 Å³/atom
- DFT total energy: -40.005 eV per formula unit
- Energy relative to the elements: -0.402 eV/atom

No. 3
Compound: PuBe4Pt5
Source: Alexandria
Functional: GGA-PBE
Structure: relaxed

Cell: 2.838 2.838 16.330 Å, 90.00 90.00 90.00°
Space group P4/mmm (No. 123)
One atom of each set of equivalent atoms:
Pu1 0.000 0.000 0.000 x1
Be1 0.000 0.000 0.229 x2
Be2 0.000 0.000 0.410 x2
Pt1 0.500 0.500 0.147 x2
Pt2 0.500 0.500 0.325 x2
Pt3 0.500 0.500 0.500 x1

- Calculated volume: 13.15 Å³/atom
- DFT total energy: -66.796 eV per formula unit
- Energy relative to the elements: -0.736 eV/atom

No. 4
Compound: Pu2Be2Pt5
Source: Alexandria
Functional: GGA-PBE
Structure: relaxed

Cell: 4.060 4.060 9.123 Å, 90.00 90.00 90.00°
Space group P4/mmm (No. 123)
One atom of each set of equivalent atoms:
Pu1 0.000 0.000 0.000 x1
Pu2 0.000 0.000 0.500 x1
Be1 0.500 0.500 0.130 x2
Pt1 0.000 0.500 0.255 x4
Pt2 0.500 0.500 0.500 x1

- Calculated volume: 16.71 Å³/atom
- DFT total energy: -72.541 eV per formula unit
- Energy relative to the elements: -0.691 eV/atom

No. 5
Compound: PuBePt
Source: Alexandria
Functional: GGA-PBE
Structure: relaxed

Cell: 4.0006 4.0006 4.0298 Å, 90.00 90.00 120.00°
Space group P-6m2 (No. 187)
One atom of each set of equivalent atoms:
Pu1 0.0000 0.0000 0.0000 x1
Be1 0.3333 0.6667 0.5000 x1
Pt1 0.6667 0.3333 0.5000 x1

- Calculated volume: 18.62 Å³/atom
- DFT total energy: -25.746 eV per formula unit
- Energy relative to the elements: -0.549 eV/atom

No. 6
Compound: Pu2Be3SiPt4
Source: Alexandria
Functional: GGA-PBE
Structure: relaxed

Cell: 4.072 4.072 9.709 Å, 90.00 90.00 90.00°
Space group P-4m2 (No. 115)
One atom of each set of equivalent atoms:
Pu1 0.000 0.500 0.250 x2
Be1 0.000 0.000 0.000 x1
Be2 0.000 0.500 0.622 x2
Si1 0.500 0.500 0.000 x1
Pt1 0.000 0.000 0.500 x1
Pt2 0.000 0.500 0.867 x2
Pt3 0.500 0.500 0.500 x1

- Calculated volume: 16.10 Å³/atom
- DFT total energy: -76.969 eV per formula unit
- Formation energy from raw total energies: -0.754 eV/atom

No. 7
Compound: Pu2Be4SiPt3
Source: Alexandria
Functional: GGA-PBE
Structure: relaxed

Cell: 3.942 3.942 9.870 Å, 90.00 90.00 90.00°
Space group P-4m2 (No. 115)
One atom of each set of equivalent atoms:
Pu1 0.000 0.500 0.248 x2
Be1 0.000 0.000 0.500 x1
Be2 0.000 0.500 0.868 x2
Be3 0.500 0.500 0.500 x1
Si1 0.500 0.500 0.000 x1
Pt1 0.000 0.000 0.000 x1
Pt2 0.000 0.500 0.626 x2

- Calculated volume: 15.34 Å³/atom
- DFT total energy: -72.896 eV per formula unit
- Formation energy from raw total energies: -0.578 eV/atom

No. 8
Compound: PuBe4Si2Pt
Source: Alexandria
Functional: GGA-PBE
Structure: relaxed

Cell: 3.7556 3.7556 26.5819 Å, 90.00 90.00 120.00°
Space group R-3m (No. 166, hexagonal axes)
One atom of each set of equivalent atoms:
Pu1 0.0000 0.0000 0.0000 x3
Be1 0.0000 0.0000 0.1221 x6
Be2 0.0000 0.0000 0.4130 x6
Si1 0.0000 0.0000 0.2603 x6
Pt1 0.0000 0.0000 0.5000 x3

- Calculated volume: 13.53 Å³/atom
- DFT total energy: -47.513 eV per formula unit
- Formation energy from raw total energies: -0.174 eV/atom

No. 9
Compound: Pu2BeSi3Pt4
Source: Alexandria
Functional: GGA-PBE
Structure: relaxed

Cell: 4.161 4.161 9.947 Å, 90.00 90.00 90.00°
Space group P-4m2 (No. 115)
One atom of each set of equivalent atoms:
Pu1 0.000 0.500 0.239 x2
Be1 0.500 0.500 0.000 x1
Si1 0.000 0.000 0.000 x1
Si2 0.000 0.500 0.637 x2
Pt1 0.000 0.000 0.500 x1
Pt2 0.000 0.500 0.878 x2
Pt3 0.500 0.500 0.500 x1

- Calculated volume: 17.23 Å³/atom
- DFT total energy: -81.421 eV per formula unit
- Formation energy from raw total energies: -0.860 eV/atom

No. 10
Compound: PuBe2SiPt4
Source: Alexandria
Functional: GGA-PBE
Structure: relaxed

Cell: 4.0560 4.0560 26.3075 Å, 90.00 90.00 120.00°
Space group R-3m (No. 166, hexagonal axes)
One atom of each set of equivalent atoms:
Pu1 0.0000 0.0000 0.0000 x3
Be1 0.0000 0.0000 0.2487 x6
Si1 0.0000 0.0000 0.5000 x3
Pt1 0.0000 0.0000 0.1346 x6
Pt2 0.0000 0.0000 0.4053 x6

- Calculated volume: 15.62 Å³/atom
- DFT total energy: -56.570 eV per formula unit
- Formation energy from raw total energies: -0.650 eV/atom

No. 11
Compound: PuBeSiPt
Source: Alexandria
Functional: GGA-PBE
Structure: relaxed

Cell: 3.9894 3.9894 15.2343 Å, 90.00 90.00 120.00°
Space group R3m (No. 160, hexagonal axes)
One atom of each set of equivalent atoms:
Pu1 0.0000 0.0000 0.0000 x3
Be1 0.0000 0.0000 0.1950 x3
Si1 0.0000 0.0000 0.5257 x3
Pt1 0.0000 0.0000 0.7969 x3

- Calculated volume: 17.50 Å³/atom
- DFT total energy: -31.372 eV per formula unit
- Formation energy from raw total energies: -0.462 eV/atom

No. 12
Compound: Pu2BeSi6Pt
Source: Alexandria
Functional: GGA-PBE
Structure: relaxed

Cell: 5.180 8.216 8.147 Å, 90.00 90.00 90.00°
Space group Pmmn (No. 59, origin choice 2)
One atom of each set of equivalent atoms:
Pu1 0.250 0.017 0.224 x4
Be1 0.250 0.750 0.773 x2
Si1 0.008 0.250 0.476 x4
Si2 0.017 0.750 0.011 x4
Si3 0.250 0.516 0.597 x4
Pt1 0.250 0.250 0.743 x2

- Calculated volume: 17.33 Å³/atom
- DFT total energy: -73.219 eV per formula unit
- Formation energy from raw total energies: -0.225 eV/atom

No. 13
Compound: Sm2PuBe3Pt4
Source: Alexandria
Functional: GGA-PBE
Structure: relaxed

Cell: 4.094 4.094 10.786 Å, 90.00 90.00 90.00°
Space group P-4m2 (No. 115)
One atom of each set of equivalent atoms:
Sm1 0.000 0.500 0.226 x2
Pu1 0.000 0.000 0.500 x1
Be1 0.000 0.500 0.893 x2
Be2 0.500 0.500 0.500 x1
Pt1 0.000 0.000 0.000 x1
Pt2 0.000 0.500 0.674 x2
Pt3 0.500 0.500 0.000 x1

- Calculated volume: 18.08 Å³/atom
- DFT total energy: -66.712 eV per formula unit
- Energy relative to the elements: -0.760 eV/atom

No. 14
Compound: Tb2PuBe3Pt4
Source: Alexandria
Functional: GGA-PBE
Structure: relaxed

Cell: 4.060 4.060 10.756 Å, 90.00 90.00 90.00°
Space group P-4m2 (No. 115)
One atom of each set of equivalent atoms:
Tb1 0.000 0.500 0.224 x2
Pu1 0.000 0.000 0.500 x1
Be1 0.000 0.500 0.892 x2
Be2 0.500 0.500 0.500 x1
Pt1 0.000 0.000 0.000 x1
Pt2 0.000 0.500 0.675 x2
Pt3 0.500 0.500 0.000 x1

- Calculated volume: 17.73 Å³/atom
- DFT total energy: -66.740 eV per formula unit
- Energy relative to the elements: -0.781 eV/atom

No. 15
Compound: Pu2Be3ZnPt4
Source: Alexandria
Functional: GGA-PBE
Structure: relaxed

Cell: 4.015 4.015 10.161 Å, 90.00 90.00 90.00°
Space group P-4m2 (No. 115)
One atom of each set of equivalent atoms:
Pu1 0.000 0.500 0.245 x2
Be1 0.000 0.500 0.883 x2
Be2 0.500 0.500 0.500 x1
Zn1 0.000 0.000 0.500 x1
Pt1 0.000 0.000 0.000 x1
Pt2 0.000 0.500 0.652 x2
Pt3 0.500 0.500 0.000 x1

- Calculated volume: 16.38 Å³/atom
- DFT total energy: -72.026 eV per formula unit
- Energy relative to the elements: -0.675 eV/atom

No. 16
Compound: RbBe2Pt
Source: Alexandria
Functional: GGA-PBE
Structure: relaxed

Cell: 6.579 6.579 6.579 Å, 90.00 90.00 90.00°
Space group Fm-3m (No. 225)
One atom of each set of equivalent atoms:
Rb1 0.000 0.000 0.000 x4
Be1 0.250 0.250 0.250 x8
Pt1 0.000 0.000 0.500 x4

- Calculated volume: 17.80 Å³/atom
- DFT total energy: -10.670 eV per formula unit
- Energy relative to the elements: 0.948 eV/atom

No. 17
Compound: RbBePt3
Source: Alexandria
Functional: GGA-PBE
Structure: relaxed

Cell: 5.090 5.090 5.090 Å, 90.00 90.00 90.00°
Space group Pm-3m (No. 221)
One atom of each set of equivalent atoms:
Rb1 0.000 0.000 0.000 x1
Be1 0.500 0.500 0.500 x1
Pt1 0.000 0.000 0.500 x3

- Calculated volume: 26.38 Å³/atom
- DFT total energy: -10.077 eV per formula unit
- Energy relative to the elements: 2.548 eV/atom

No. 18
Compound: Rb3BePt
Source: Alexandria
Functional: GGA-PBE
Structure: relaxed

Cell: 6.434 6.434 6.434 Å, 90.00 90.00 90.00°
Space group Pm-3m (No. 221)
One atom of each set of equivalent atoms:
Rb1 0.000 0.000 0.500 x3
Be1 0.500 0.500 0.500 x1
Pt1 0.000 0.000 0.000 x1

- Calculated volume: 53.27 Å³/atom
- DFT total energy: -9.390 eV per formula unit
- Energy relative to the elements: 0.656 eV/atom

No. 19
Compound: RbBe2Pt2
Source: Alexandria
Functional: GGA-PBE
Structure: relaxed

Cell: 3.651 3.651 15.007 Å, 90.00 90.00 90.00°
Space group I4/mmm (No. 139)
One atom of each set of equivalent atoms:
Rb1 0.000 0.000 0.000 x2
Be1 0.000 0.500 0.250 x4
Pt1 0.000 0.000 0.338 x4

- Calculated volume: 20.01 Å³/atom
- DFT total energy: -21.557 eV per formula unit
- Energy relative to the elements: -0.211 eV/atom

No. 20
Compound: RbBePt3
Source: Alexandria
Functional: GGA-PBE
Structure: relaxed

Cell: 4.498 4.498 4.498 Å, 90.00 90.00 90.00°
Space group Pm-3m (No. 221)
One atom of each set of equivalent atoms:
Rb1 0.000 0.000 0.000 x1
Be1 0.500 0.500 0.500 x1
Pt1 0.000 0.500 0.500 x3

- Calculated volume: 18.20 Å³/atom
- DFT total energy: -22.012 eV per formula unit
- Energy relative to the elements: 0.161 eV/atom